(1)
Dy3Tm2Sc2 | PBE-GGA | optimized geometry

Total energy = -35.1 eV/f.u.
Polymorph energy (0 for the lowest one) = 6 meV per atom
D(E_F) = 21.1 states/eV per cell
Calculated formation energy = 4 kJ per mole of atoms
Mass density = 7.5 Mg/m³

The structure in CIF format:
```
data_Dy3Tm2Sc2
_chemical_formula_sum 'Dy6 Tm4 Sc4'
_space_group_name_H-M_alt 'C 1 2/m 1'
_space_group_IT_number 12
_space_group_name_Hall '-C 2y'
_cell_length_a 10.851
_cell_length_b 4.888
_cell_length_c 7.720
_cell_angle_alpha 90.00
_cell_angle_beta 98.38
_cell_angle_gamma 90.00
loop_
_atom_site_label
_atom_site_fract_x
_atom_site_fract_y
_atom_site_fract_z
Dy1 0.000 0.000 0.000
Dy2 0.144 0.000 0.429
Tm1 0.072 0.500 0.721
Sc1 0.216 0.500 0.140
```

(2)
TcTeN2O | PBE-GGA | optimized geometry

Total energy = -25.1 eV/f.u.
ΔE_f (raw) = 1.9963 eV/atom
D(E_F) = 3.6 states/eV per cell
Mass density = 7.2 Mg/m³

The structure in CIF format:
```
data_TcTeN2O
_chemical_formula_sum 'Tc1 Te1 N2 O1'
_space_group_name_H-M_alt 'P 4/m m m'
_space_group_IT_number 123
_space_group_name_Hall '-P 4 2'
_cell_length_a 3.907
_cell_length_b 3.907
_cell_length_c 4.083
_cell_angle_alpha 90.00
_cell_angle_beta 90.00
_cell_angle_gamma 90.00
loop_
_atom_site_label
_atom_site_fract_x
_atom_site_fract_y
_atom_site_fract_z
Tc1 0.000 0.000 0.000
Te1 0.500 0.500 0.000
N1 0.000 0.500 0.500
O1 0.500 0.500 0.500
```

(3)
Dy3Tl | PBE-GGA | optimized geometry

Total energy = -16.8 eV/f.u.
D(E_F) = 20.5 states/eV per cell
Calculated formation energy = -16 kJ per mole of atoms
Mass density = 9.6 Mg/m³

The structure in CIF format:
```
data_Dy3Tl
_chemical_formula_sum 'Dy12 Tl4'
_space_group_name_H-M_alt 'C m c m'
_space_group_IT_number 63
_space_group_name_Hall '-C 2c 2'
_cell_length_a 3.623
_cell_length_b 12.794
_cell_length_c 10.283
_cell_angle_alpha 90.00
_cell_angle_beta 90.00
_cell_angle_gamma 90.00
loop_
_atom_site_label
_atom_site_fract_x
_atom_site_fract_y
_atom_site_fract_z
Dy1 0.000 0.039 0.250
Dy2 0.000 0.369 0.031
Tl1 0.000 0.244 0.750
```

(4)
LaPr2Hg2Pb2 | PBE-GGA | optimized geometry

Total energy = -24.7 eV/f.u.
D(E_F) = 18.7 states/eV per cell
Calculated formation energy = -30 kJ per mole of atoms
Mass density = 9.5 Mg/m³

The structure in CIF format:
```
data_LaPr2Hg2Pb2
_chemical_formula_sum 'La3 Pr6 Hg6 Pb6'
_space_group_name_H-M_alt 'R -3 m'
_space_group_IT_number 166
_space_group_name_Hall '-R 3 2"'
_cell_length_a 5.1493
_cell_length_b 5.1493
_cell_length_c 28.2167
_cell_angle_alpha 90.00
_cell_angle_beta 90.00
_cell_angle_gamma 120.00
loop_
_atom_site_label
_atom_site_fract_x
_atom_site_fract_y
_atom_site_fract_z
La1 0.0000 0.0000 0.0000
Pr1 0.0000 0.0000 0.1313
Hg1 0.0000 0.0000 0.4314
Pb1 0.0000 0.0000 0.2720
```

| no. | total magnetic moment (μB per formula unit) |
| --- | --- |
| 1 | 0.0 |
| 2 | 0.5 |
| 3 | 0.0 |
| 4 | 0.0 |